No. 1
Computed, not measured: crystalline Nb2VMoBr at its relaxed geometry at the PBE level of DFT.

Unit cell a=4.9556 b=4.9556 c=4.5872 alpha=90.00 beta=90.00 gamma=90.00
Closest atoms and distances in Å follow each position.
Fractional coordinates of all 5 atoms:
Nb (0.0000, 0.5000, 0.0000)  2 Mo 2.48
Nb (0.5000, 0.0000, 0.0000)  2 Mo 2.48
V (0.0000, 0.0000, 0.5000)  2 Mo 2.29
Mo (0.0000, 0.0000, 0.0000)  2 V 2.29, 4 Nb 2.48
Br (0.5000, 0.5000, 0.5000)  8 Nb 3.38, 4 V 3.50

Results
magnetization	0.0	Bohr magnetons per cell
formation energy without anion corrections	1379	meV per atom

No. 2
Computed, not measured: crystalline AcNdSn at its relaxed geometry at the PBE level of DFT.

Unit cell a=7.0785 b=7.0785 c=7.0213 alpha=90.00 beta=90.00 gamma=141.44
Closest atoms and distances in Å follow each position.
Fractional coordinates of all 6 atoms:
Ac (0.1873, 0.8127, 0.7500)  5 Nd 3.66-3.82, 4 Sn 3.85
Ac (0.8127, 0.1873, 0.2500)  5 Nd 3.66-3.82, 4 Sn 3.85
Nd (0.0868, 0.9132, 0.2500)  4 Sn 3.14
Nd (0.9132, 0.0868, 0.7500)  4 Sn 3.14
Sn (0.5000, 0.5000, 0.0000)  4 Nd 3.14, 2 Sn 3.51
Sn (0.5000, 0.5000, 0.5000)  4 Nd 3.14, 2 Sn 3.51

Results
magnetization	0.0	Bohr magnetons per cell
E above lowest polymorph	215	meV per atom
formation energy from the elements	-349	meV/atom

No. 3
Computed, not measured: crystalline NbCo2HRu at its relaxed geometry at the PBE level of DFT.

Unit cell a=4.5807 b=4.5807 c=3.1359 alpha=90.00 beta=90.00 gamma=90.00
Closest atoms and distances in Å follow each position.
Fractional coordinates of all 5 atoms:
Nb (0.0000, 0.0000, 0.0000)  8 Co 2.78
Co (0.0000, 0.5000, 0.5000)  2 Ru 2.29
Co (0.5000, 0.0000, 0.5000)  2 Ru 2.29
H (0.5000, 0.5000, 0.0000)  2 Ru 1.57
Ru (0.5000, 0.5000, 0.5000)  2 H 1.57

Results
magnetization	2.9	Bohr magnetons per cell
E above lowest polymorph	930	meV per atom

No. 4
Computed, not measured: crystalline Na2MgMnSi at its relaxed geometry at the PBE level of DFT.

Unit cell a=5.2944 b=5.2944 c=5.1201 alpha=90.00 beta=90.00 gamma=90.00
Closest atoms and distances in Å follow each position.
Fractional coordinates of all 5 atoms:
Na (0.0000, 0.5000, 0.0000)  2 Mg 2.65
Na (0.5000, 0.0000, 0.0000)  2 Mg 2.65
Mg (0.0000, 0.0000, 0.0000)  2 Mn 2.56, 4 Na 2.65
Mn (0.0000, 0.0000, 0.5000)  2 Mg 2.56
Si (0.5000, 0.5000, 0.5000)  8 Na 3.68, 4 Mn 3.74

Results
magnetization	3.8	Bohr magnetons per cell
formation energy without anion corrections	1095	meV per atom

No. 5
Computed, not measured: crystalline Tm3HfAl8 at its relaxed geometry at the PBE level of DFT.

Unit cell a=5.4241 b=5.4241 c=8.9944 alpha=90.00 beta=90.00 gamma=120.00
Closest atoms and distances in Å follow each position.
Fractional coordinates of all 12 atoms:
Tm (0.0000, 0.0000, 0.0000)  12 Al 3.19-3.29, 4 Tm 3.31-3.37
Tm (0.0000, 0.0000, 0.3677)  12 Al 3.16-3.18, 1 Tm 3.31, 3 Hf 3.35
Tm (0.3333, 0.6667, 0.8626)  12 Al 3.19-3.29, 1 Hf 3.27, 3 Tm 3.37
Hf (0.3333, 0.6667, 0.4996)  12 Al 3.14-3.20, 4 Tm 3.27-3.35
Al (0.0088, 0.5044, 0.1871)  6 Al 2.64-2.81
Al (0.3256, 0.1628, 0.6764)  6 Al 2.65-2.79
Al (0.4956, 0.5044, 0.1871)  6 Al 2.64-2.81
Al (0.4956, 0.9912, 0.1871)  6 Al 2.64-2.81
Al (0.6667, 0.3333, 0.4322)  6 Al 2.72-2.73
Al (0.6667, 0.3333, 0.9306)  6 Al 2.79-2.81
Al (0.8372, 0.1628, 0.6764)  6 Al 2.65-2.79
Al (0.8372, 0.6744, 0.6764)  6 Al 2.65-2.79

Results
magnetization	0.0	Bohr magnetons per cell
E above lowest polymorph	13	meV per atom
formation energy from the elements	-463	meV/atom

No. 6
Computed, not measured: crystalline InGeP2 at its relaxed geometry at the PBE level of DFT.

Unit cell a=7.3000 b=7.3000 c=7.3000 alpha=133.56 beta=133.56 gamma=67.78
Closest atoms and distances in Å follow each position.
Fractional coordinates of all 8 atoms:
In (0.0000, 0.0000, 0.0000)  4 P 2.61
In (0.7500, 0.2500, 0.5000)  4 P 2.61
Ge (0.2500, 0.7500, 0.5000)  4 P 2.47
Ge (0.5000, 0.5000, 0.0000)  4 P 2.47
P (0.1466, 0.6250, 0.0216)  2 Ge 2.47, 2 In 2.61
P (0.3750, 0.3966, 0.5216)  2 Ge 2.47, 2 In 2.61
P (0.6034, 0.1250, 0.9784)  2 Ge 2.47, 2 In 2.61
P (0.8750, 0.8534, 0.4784)  2 Ge 2.47, 2 In 2.61

Results
magnetization	0.0	Bohr magnetons per cell
E above lowest polymorph	0	meV per atom
formation energy from the elements	48	meV/atom

No. 7
Computed, not measured: crystalline In2H2Se3 at its relaxed geometry at the PBE level of DFT.

Unit cell a=4.4520 b=6.8744 c=7.2327 alpha=117.71 beta=99.02 gamma=92.55
Closest atoms and distances in Å follow each position.
Fractional coordinates of all 7 atoms:
In (0.0804, 0.2208, 0.2583)  4 Se 2.82-2.89
In (0.9196, 0.7792, 0.7417)  4 Se 2.82-2.89
H (0.2797, 0.3853, 0.7674)  1 Se 1.49
H (0.7203, 0.6147, 0.2326)  1 Se 1.49
Se (0.0505, 0.6715, 0.3366)  1 H 1.49
Se (0.5000, 0.0000, 0.0000)  4 In 2.82-2.83
Se (0.9495, 0.3285, 0.6634)  1 H 1.49

Results
total DFT energy (no corrections)	-23.852	eV/cell
magnetization	0.0	Bohr magnetons per cell

No. 8
Computed, not measured: crystalline LiSmHg4 at its relaxed geometry at the PBE level of DFT.

Unit cell a=4.7078 b=4.7078 c=7.2319 alpha=90.13 beta=90.13 gamma=90.03
Closest atoms and distances in Å follow each position.
Fractional coordinates of all 6 atoms:
Li (0.0000, 0.0000, 0.0000)  8 Hg 2.80-2.81
Sm (0.5000, 0.5000, 0.5000)  8 Hg 3.14-3.15
Hg (0.0012, 0.4999, 0.7885)  2 Li 2.80-2.81, 1 Hg 3.06
Hg (0.4999, 0.0012, 0.7885)  2 Li 2.80-2.81, 1 Hg 3.06
Hg (0.5001, 0.9988, 0.2115)  2 Li 2.80-2.81, 1 Hg 3.06
Hg (0.9988, 0.5001, 0.2115)  2 Li 2.80-2.81, 1 Hg 3.06

Results
magnetization	0.0	Bohr magnetons per cell
E above lowest polymorph	156	meV per atom
formation energy from the elements	-172	meV/atom